No. 1
Material: RbBAsSe4
Method: DFT, PBE
State: relaxed

POSCAR file:
```
RbBAsSe4
1.0
6.3878 0.0000 0.0000
0.0000 6.5362 0.0000
-2.9992 0.0000 8.9673
Rb B As Se
2 2 2 8
direct
0.2226 0.2500 0.4364
0.7774 0.7500 0.5636
0.0970 0.2500 0.8375
0.9030 0.7500 0.1625
0.3285 0.7500 0.0447
0.6715 0.2500 0.9553
0.0878 0.2500 0.0517
0.2260 0.7500 0.2952
0.2870 0.0104 0.7996
0.2870 0.4896 0.7996
0.7130 0.5104 0.2004
0.7130 0.9896 0.2004
0.7740 0.2500 0.7048
0.9122 0.7500 0.9483
```

Calculated values
The magnetization is 0.00 μB/cell. The value obtained for the uncorrected formation energy is -291 meV per atom. As for the space-group type: P2_1/m, No. 11.

No. 2
Material: Sm2ScSb3
Method: DFT, PBE
State: relaxed

POSCAR file:
```
Sm2ScSb3
1.0
4.3726 0.0000 0.0000
0.0000 6.2197 0.0000
0.0000 0.0000 13.0814
Sm Sc Sb
4 2 6
direct
0.0000 0.0000 0.1700
0.0000 0.0000 0.8300
0.5000 0.5000 0.3300
0.5000 0.5000 0.6700
0.0000 0.0000 0.5000
0.5000 0.5000 0.0000
0.0000 0.5000 0.1555
0.0000 0.5000 0.5000
0.0000 0.5000 0.8445
0.5000 0.0000 0.0000
0.5000 0.0000 0.3445
0.5000 0.0000 0.6555
```

Calculated values
The magnetization is 0.00 μB/cell. The value obtained for the uncorrected formation energy is -1069 meV per atom. As for the space-group type: Immm, No. 71. The calculation puts the energy relative to the lowest polymorph listed for this composition at 7 meV per atom.